Density functional theory data (GGA-PBE) for CaTc2TeS after structural relaxation.

It has space group P4/mmm (No. 123), with a = 5.310 Å, b = 5.310 Å, c = 4.837 Å, α = 90.00°, β = 90.00° and γ = 90.00°. The asymmetric unit holds Ca at (0.000, 0.000, 0.000), Tc at (0.000, 0.500, 0.000), Te at (0.500, 0.500, 0.500) and S at (0.000, 0.000, 0.500).

The formation energy without anion corrections comes out at 162.90 kJ per mole of atoms. The calculation puts the total magnetization at 1.308 μB per atom.